Entry 1:
## Ta3FeMo (PBE)

Data for Ta3FeMo after structural relaxation.

Lattice parameters (Å, degrees): 4.7632 4.7632 4.7632 90.00 90.00 90.00
Last column: nearest neighbours and their distance in Å.
Atoms (fractional coordinates):
Ta  0.0000  0.5000  0.0000  2 Mo 2.38
Ta  0.0000  0.0000  0.5000  2 Mo 2.38
Ta  0.5000  0.0000  0.0000  2 Mo 2.38
Fe  0.5000  0.5000  0.5000  12 Ta 3.37
Mo  0.0000  0.0000  0.0000  6 Ta 2.38

ΔE_f = 1.903 eV per atom
spin magnetization = 0.000 μB per cell
excess energy over the best structure of this formula in the dataset = 1000 meV/atom

Entry 2:
## RbHg3Te3 (PBE)

Data for RbHg3Te3 after structural relaxation.

Lattice parameters (Å, degrees): 8.3453 8.3453 8.3453 90.00 90.00 90.00
Last column: nearest neighbours and their distance in Å.
Atoms (fractional coordinates):
Te  0.2500  0.5000  0.0000  4 Hg 2.95
Te  0.5000  0.0000  0.2500  4 Hg 2.95
Te  0.7500  0.5000  0.0000  4 Hg 2.95
Te  0.5000  0.0000  0.7500  4 Hg 2.95
Te  0.0000  0.2500  0.5000  4 Hg 2.95
Te  0.0000  0.7500  0.5000  4 Hg 2.95
Hg  0.2500  0.0000  0.5000  4 Te 2.95
Hg  0.0000  0.5000  0.7500  4 Te 2.95
Hg  0.5000  0.2500  0.0000  4 Te 2.95
Hg  0.7500  0.0000  0.5000  4 Te 2.95
Hg  0.0000  0.5000  0.2500  4 Te 2.95
Hg  0.5000  0.7500  0.0000  4 Te 2.95
Rb  0.5000  0.5000  0.5000  12 Hg 4.67, 12 Te 4.67
Rb  0.0000  0.0000  0.0000  12 Hg 4.67, 12 Te 4.67

spin magnetization = 0.000 μB per cell
excess energy over the best structure of this formula in the dataset = 39 meV/atom

Entry 3:
## Ce2CuSiPt6 (PBE)

Data for Ce2CuSiPt6 after structural relaxation.

Lattice parameters (Å, degrees): 6.5851 6.5851 6.5851 60.00 60.00 90.00
Last column: nearest neighbours and their distance in Å.
Atoms (fractional coordinates):
Pt  0.2555  0.2555  0.4889  1 Si 2.28, 1 Cu 2.38
Pt  0.2555  0.2555  0.0000  1 Si 2.28, 1 Cu 2.38
Pt  0.7445  0.7445  0.0000  1 Si 2.28, 1 Cu 2.38
Pt  0.2555  0.7445  0.0000  1 Si 2.28, 1 Cu 2.38
Pt  0.7445  0.7445  0.5111  1 Si 2.28, 1 Cu 2.38
Pt  0.7445  0.2555  0.0000  1 Si 2.28, 1 Cu 2.38
Ce  0.7500  0.2500  0.5000  12 Pt 3.29
Ce  0.2500  0.7500  0.5000  12 Pt 3.29
Si  0.5000  0.5000  0.0000  6 Pt 2.28
Cu  0.0000  0.0000  0.0000  6 Pt 2.38

spin magnetization = 1.557 μB per cell

Entry 4:
## Be2CoSiSe (PBE)

Data for Be2CoSiSe after structural relaxation.

Lattice parameters (Å, degrees): 4.1329 4.4702 4.1329 90.00 90.00 90.00
Last column: nearest neighbours and their distance in Å.
Atoms (fractional coordinates):
Be  0.5000  0.0000  0.0000  2 Se 2.07
Be  0.0000  0.0000  0.5000  2 Se 2.07
Se  0.0000  0.0000  0.0000  4 Be 2.07, 2 Co 2.24
Si  0.5000  0.5000  0.5000  4 Co 2.92, 8 Be 3.04
Co  0.0000  0.5000  0.0000  2 Se 2.24

spin magnetization = 0.000 μB per cell

Entry 5:
## TlZnPb2 (PBE)

Data for TlZnPb2 after structural relaxation.

Lattice parameters (Å, degrees): 4.5394 4.5394 7.3138 71.92 71.92 60.00
Last column: nearest neighbours and their distance in Å.
Atoms (fractional coordinates):
Pb  0.0607  0.0607  0.8180  3 Zn 2.91
Pb  0.2725  0.2725  0.1825  3 Zn 2.90
Zn  0.6661  0.6661  0.0017  6 Pb 2.90-2.91
Tl  0.5008  0.5008  0.4977  1 Zn 3.39, 6 Pb 3.39-3.41

ΔE_f = 0.136 eV per atom
spin magnetization = 0.000 μB per cell

Entry 6:
## NdZr2Nb (PBE)

Data for NdZr2Nb after structural relaxation.

Lattice parameters (Å, degrees): 3.2099 3.2099 11.2321 81.78 81.78 60.00
Last column: nearest neighbours and their distance in Å.
Atoms (fractional coordinates):
Nb  0.5000  0.5000  0.5000  6 Zr 2.99, 6 Nb 3.21
Zr  0.0960  0.0960  0.7119  3 Nb 2.99, 1 Nd 3.19, 6 Zr 3.21
Zr  0.9040  0.9040  0.2881  3 Nb 2.99, 1 Nd 3.19, 6 Zr 3.21
Nd  0.0000  0.0000  0.0000  2 Zr 3.19, 6 Nd 3.21

ΔE_f = 0.336 eV per atom
spin magnetization = 0.000 μB per cell
excess energy over the best structure of this formula in the dataset = 211 meV/atom

Entry 7:
## SrB (PBE)

Data for SrB after structural relaxation.

Lattice parameters (Å, degrees): 5.9366 5.9366 5.9366 90.00 90.00 90.00
Last column: nearest neighbours and their distance in Å.
Atoms (fractional coordinates):
B  0.0000  0.0000  0.0000  6 Sr 2.97
B  0.5000  0.0000  0.5000  6 Sr 2.97
B  0.5000  0.5000  0.0000  6 Sr 2.97
B  0.0000  0.5000  0.5000  6 Sr 2.97
Sr  0.0000  0.5000  0.0000  6 B 2.97
Sr  0.5000  0.0000  0.0000  6 B 2.97
Sr  0.5000  0.5000  0.5000  6 B 2.97
Sr  0.0000  0.0000  0.5000  6 B 2.97

ΔE_f = 1.172 eV per atom
spin magnetization = 5.082 μB per cell
excess energy over the best structure of this formula in the dataset = 1192 meV/atom

Entry 8:
## Mg4GaRh (PBE)

Data for Mg4GaRh after structural relaxation.

Lattice parameters (Å, degrees): 6.6030 6.6030 7.1386 117.55 117.55 90.00
Last column: nearest neighbours and their distance in Å.
Atoms (fractional coordinates):
Mg  0.9687  0.8069  0.2756  2 Rh 2.74, 2 Mg 2.86-2.98, 2 Ga 2.87
Mg  0.3069  0.4687  0.2756  2 Rh 2.74, 2 Mg 2.86-2.98, 2 Ga 2.87
Mg  0.5313  0.0313  0.7244  2 Rh 2.74, 2 Mg 2.86-2.98, 2 Ga 2.87
Mg  0.6931  0.5313  0.7244  2 Rh 2.74, 2 Mg 2.86-2.98, 2 Ga 2.87
Mg  0.8069  0.3069  0.2756  2 Rh 2.74, 2 Mg 2.86-2.98, 2 Ga 2.87
Mg  0.0313  0.1931  0.7244  2 Rh 2.74, 2 Mg 2.86-2.98, 2 Ga 2.87
Mg  0.1931  0.6931  0.7244  2 Rh 2.74, 2 Mg 2.86-2.98, 2 Ga 2.87
Mg  0.4687  0.9687  0.2756  2 Rh 2.74, 2 Mg 2.86-2.98, 2 Ga 2.87
Rh  0.7500  0.7500  0.5000  2 Ga 2.70, 8 Mg 2.74
Rh  0.2500  0.2500  0.5000  2 Ga 2.70, 8 Mg 2.74
Ga  0.5000  0.5000  0.0000  2 Rh 2.70, 8 Mg 2.87
Ga  0.0000  0.0000  0.0000  2 Rh 2.70, 8 Mg 2.87

ΔE_f = -0.293 eV per atom
spin magnetization = 0.000 μB per cell
excess energy over the best structure of this formula in the dataset = 0 meV/atom

Entry 9:
## CdPW2 (PBE)

Data for CdPW2 after structural relaxation.

Lattice parameters (Å, degrees): 9.2026 9.2026 9.2026 18.64 18.64 18.64
Last column: nearest neighbours and their distance in Å.
Atoms (fractional coordinates):
Cd  0.4999  0.4999  0.4999  6 Cd 2.98, 3 W 3.02, 3 P 3.14
W  0.2578  0.2578  0.2578  9 W 2.80-2.98, 3 Cd 3.02
W  0.0060  0.0060  0.0060  3 P 2.44
P  0.7363  0.7363  0.7363  3 W 2.44

ΔE_f = 0.301 eV per atom
spin magnetization = 0.000 μB per cell
excess energy over the best structure of this formula in the dataset = 48 meV/atom

Entry 10:
## NaPmEr2Tl4 (PBE)

Data for NaPmEr2Tl4 after structural relaxation.

Lattice parameters (Å, degrees): 5.3334 5.3334 9.4044 73.53 73.53 60.00
Last column: nearest neighbours and their distance in Å.
Atoms (fractional coordinates):
Tl  0.6230  0.6230  0.1311  1 Na 3.28, 4 Er 3.29-3.48, 3 Pm 3.29
Tl  0.3770  0.3770  0.8689  1 Na 3.28, 4 Er 3.29-3.48, 3 Pm 3.29
Tl  0.8734  0.8734  0.3797  4 Er 3.20-3.26, 3 Na 3.26, 1 Pm 3.37
Tl  0.1266  0.1266  0.6203  4 Er 3.20-3.26, 3 Na 3.26, 1 Pm 3.37
Pm  0.0000  0.0000  0.0000  8 Tl 3.29-3.37
Er  0.2465  0.2465  0.2604  8 Tl 3.20-3.48
Er  0.7535  0.7535  0.7396  8 Tl 3.20-3.48
Na  0.5000  0.5000  0.5000  8 Tl 3.26-3.28

ΔE_f = -0.284 eV per atom
spin magnetization = 0.000 μB per cell

Entry 11:
## AsIO2F (PBE)

Data for AsIO2F after structural relaxation.

Lattice parameters (Å, degrees): 3.9707 3.9707 6.4531 90.00 90.00 90.00
Last column: nearest neighbours and their distance in Å.
Atoms (fractional coordinates):
O  0.5000  0.0000  0.0000  2 I 1.99
O  0.0000  0.5000  0.0000  2 I 1.99
F  0.0000  0.0000  0.5000  4 As 2.81
I  0.0000  0.0000  0.0000  4 O 1.99
As  0.5000  0.5000  0.5000  4 F 2.81

spin magnetization = 1.511 μB per cell

Entry 12:
## GaAg2BSe4 (PBE)

Data for GaAg2BSe4 after structural relaxation.

Lattice parameters (Å, degrees): 5.9096 5.9102 6.6586 116.35 116.35 90.00
Last column: nearest neighbours and their distance in Å.
Atoms (fractional coordinates):
Ga  0.9858  0.4858  0.9717  4 Se 2.47
Ag  0.4859  0.9860  0.9718  4 Se 2.64
Ag  0.2359  0.2357  0.4716  4 Se 2.71
Se  0.0432  0.0682  0.6967  1 B 2.09
Se  0.6535  0.6286  0.6967  1 B 2.09
Se  0.8433  0.4286  0.2469  1 B 2.09
Se  0.4036  0.8182  0.2468  1 B 2.09
B  0.7359  0.7359  0.4718  4 Se 2.09

spin magnetization = 0.000 μB per cell

Number 1: theoretical density 10.7 g/cm3, total DFT energy (no corrections) -9.07 eV per atom. Number 2: theoretical density 6.1 g/cm3, total DFT energy (no corrections) -1.87 eV per atom. Number 3: theoretical density 12.7 g/cm3, total DFT energy (no corrections) -6.22 eV per atom. Number 4: theoretical density 4.0 g/cm3, total DFT energy (no corrections) -3.75 eV per atom. Number 5: theoretical density 9.3 g/cm3, total DFT energy (no corrections) -2.63 eV per atom. Number 6: theoretical density 7.0 g/cm3, total DFT energy (no corrections) -7.65 eV per atom. Number 7: theoretical density 3.1 g/cm3, total DFT energy (no corrections) -3.01 eV per atom. Number 8: theoretical density 3.8 g/cm3, total DFT energy (no corrections) -3.09 eV per atom. Number 9: theoretical density 12.2 g/cm3, total DFT energy (no corrections) -7.76 eV per atom. Number 10: theoretical density 10.0 g/cm3, total DFT energy (no corrections) -3.37 eV per atom. Number 11: theoretical density 4.1 g/cm3, total DFT energy (no corrections) -3.42 eV per atom. Number 12: theoretical density 5.6 g/cm3, total DFT energy (no corrections) -3.93 eV per atom.